[1]
VASP calculation (PBE) on a relaxed FeCuHg3 crystal.

Lattice parameters (Å, degrees): 4.973 4.973 4.973 90.00 90.00 90.00
Each line ends with the local moment (μB).
Positions (direct):
Hg: 0.000 0.500 0.000  0.00
Hg: 0.000 0.000 0.500  0.01
Hg: 0.500 0.000 0.000  0.01
Cu: 0.000 0.000 0.000  -0.01
Fe: 0.500 0.500 0.500  3.32

Summary:
**Size of the total moment**: 3.4 μB/f.u.
**E_form**: 804 meV/atom
**Space group**: Pm-3m

[2]
VASP calculation (PBE) on a relaxed Pm2Dy5Tm4 crystal.

Lattice parameters (Å, degrees): 3.475 8.964 12.537 110.95 97.96 90.00
Positions (direct):
Tm: 0.000 0.313 0.000
Tm: 0.597 0.597 0.193
Tm: 0.000 0.687 0.000
Tm: 0.403 0.403 0.807
Dy: 0.858 0.662 0.717
Dy: 0.142 0.946 0.283
Dy: 0.142 0.338 0.283
Dy: 0.500 0.000 0.000
Dy: 0.858 0.054 0.717
Pm: 0.268 0.268 0.536
Pm: 0.732 0.732 0.464

Summary:
**Size of the total moment**: 0.0 μB/f.u.
**E_form**: 199 meV/atom
**Space group**: Immm

[3]
VASP calculation (PBE) on a relaxed Mg3GaH crystal.

Lattice parameters (Å, degrees): 5.056 5.056 5.056 90.00 90.00 90.00
Positions (direct):
Mg: 0.000 0.000 0.500
Mg: 0.500 0.000 0.000
Mg: 0.000 0.500 0.000
Ga: 0.000 0.000 0.000
H: 0.500 0.500 0.500

Summary:
**Size of the total moment**: 0.0 μB/f.u.
**Space group**: Pm-3m
**VASP energy**: -9.04 eV for the cell shown

[4]
VASP calculation (PBE) on a relaxed Pu3Tl2IrO12 crystal.

Lattice parameters (Å, degrees): 7.539 7.539 7.539 62.76 62.76 62.76
Each line ends with the local moment (μB).
Positions (direct):
O: 0.681 0.051 0.681  -0.15
O: 0.060 0.060 0.698  -0.14
O: 0.681 0.681 0.051  -0.15
O: 0.319 0.319 0.949  -0.15
O: 0.698 0.060 0.060  -0.14
O: 0.060 0.698 0.060  -0.14
O: 0.940 0.940 0.302  -0.14
O: 0.051 0.681 0.681  -0.15
O: 0.302 0.940 0.940  -0.14
O: 0.940 0.302 0.940  -0.14
O: 0.319 0.949 0.319  -0.15
O: 0.949 0.319 0.319  -0.15
Tl: 0.660 0.660 0.660  0.00
Tl: 0.340 0.340 0.340  0.00
Ir: 0.000 0.000 0.000  -0.64
Pu: 0.000 0.500 0.000  2.50
Pu: 0.000 0.000 0.500  2.50
Pu: 0.500 0.000 0.000  2.50

Summary:
**Size of the total moment**: 4.9 μB/f.u.
**Formation energy (no corrections)**: -1920.5 meV/atom
**Space group**: R-3m